Entry from Alexandria: a relaxed TcPt4Rh5 crystal (PBE).

Results
Total magnetization in μB per cell: 0.0
ΔH_f (0 K) in eV/f.u.: -0.726
Crystal system: tetragonal

CIF file:
```
data_TcPt4Rh5
_cell_length_a 2.7471
_cell_length_b 2.7471
_cell_length_c 19.5618
_cell_angle_alpha 90.00
_cell_angle_beta 90.00
_cell_angle_gamma 90.00
_space_group_name_H-M_alt 'P 4/m m m'
_space_group_IT_number 123
_space_group_name_Hall '-P 4 2'
loop_
_atom_site_label
_atom_site_type_symbol
_atom_site_fract_x
_atom_site_fract_y
_atom_site_fract_z
Tc1 Tc 0.0000 0.0000 0.0000
Pt1 Pt 0.0000 0.0000 0.1994
Pt2 Pt 0.0000 0.0000 0.3997
Rh1 Rh 0.5000 0.5000 0.0948
Rh2 Rh 0.5000 0.5000 0.3001
Rh3 Rh 0.5000 0.5000 0.5000
```